(1)
Entry from the Alexandria database: an optimized crystal structure of BAuSe2Br (GGA-PBE).

```
BAuSe2Br
1.0
-2.844 4.212 -0.369
-3.172 -1.831 3.543
2.910 2.298 3.793
B Br Se Au
1 1 2 1
Direct
0.500 0.500 0.500
0.000 0.000 0.500
0.500 0.000 0.000
0.000 0.500 0.000
0.000 0.000 0.000
```

ρ: 5.4 g cm⁻³
DOS(E_F): 5.3 states/eV/cell
Total magnetization: 0.00 μB/cell



(2)
Entry from the Alexandria database: an optimized crystal structure of BAuSe2Br (GGA-PBE).

```
BAuSe2Br
1.0
-1.436 4.006 -1.699
-4.198 -1.747 -0.570
-1.141 1.372 4.199
Au B Br Se
1 1 1 2
Direct
0.500 0.500 0.500
0.000 0.000 0.000
0.000 0.000 0.500
0.500 0.000 0.000
0.000 0.500 0.000
```

ρ: 7.7 g cm⁻³
DOS(E_F): 5.9 states/eV/cell
Total magnetization: 0.00 μB/cell



Energies in meV per atom, measured from the most stable structure: (1) 460; (2) 0.



(1)
Entry from the Alexandria database: an optimized crystal structure of BAuSeBr2 (GGA-PBE).

```
BAuSeBr2
1.0
5.261 0.000 0.000
0.000 5.261 0.000
0.000 0.000 5.174
Au B Br Se
1 1 2 1
Direct
0.000 0.000 0.000
0.500 0.500 0.500
0.000 0.500 0.000
0.500 0.000 0.000
0.000 0.000 0.500
```

ρ: 5.2 g cm⁻³
DOS(E_F): 4.7 states/eV/cell
Total magnetization: 0.61 μB/cell



(2)
Entry from the Alexandria database: an optimized crystal structure of BAuSeBr2 (GGA-PBE).

```
BAuSeBr2
1.0
-3.955 0.224 -1.969
-0.625 -4.313 0.765
-2.236 1.144 4.622
Br Au Se B
2 1 1 1
Direct
0.500 0.000 0.000
0.000 0.500 0.000
0.500 0.500 0.500
0.000 0.000 0.500
0.000 0.000 0.000
```

ρ: 7.2 g cm⁻³
DOS(E_F): 3.1 states/eV/cell
Total magnetization: 0.00 μB/cell



Energies in meV per atom, measured from the most stable structure: (1) 337; (2) 0.



(1)
Entry from the Alexandria database: an optimized crystal structure of B3AuC (GGA-PBE).

```
B3AuC
1.0
-1.704 0.312 -3.146
0.125 -3.564 -0.421
-3.159 -0.309 1.680
B Au C
3 1 1
Direct
0.500 0.000 0.000
0.000 0.000 0.500
0.000 0.500 0.000
0.500 0.500 0.500
0.000 0.000 0.000
```

ρ: 8.7 g cm⁻³
DOS(E_F): 1.3 states/eV/cell
Total magnetization: 0.00 μB/cell



(2)
Entry from the Alexandria database: an optimized crystal structure of B3AuC (GGA-PBE).

```
B3AuC
1.0
4.141 0.000 0.000
0.000 4.141 0.000
0.000 0.000 4.141
C B Au
1 3 1
Direct
0.500 0.500 0.500
0.000 0.500 0.000
0.000 0.000 0.500
0.500 0.000 0.000
0.000 0.000 0.000
```

ρ: 5.6 g cm⁻³
DOS(E_F): 1.8 states/eV/cell
Total magnetization: 1.91 μB/cell



Energies in meV per atom, measured from the most stable structure: (1) 0; (2) 1057.



(1)
Entry from the Alexandria database: an optimized crystal structure of CrBAuC (GGA-PBE).

```
CrBAuC
1.0
3.163 0.000 0.000
0.000 2.754 0.000
0.000 0.000 11.334
Au Cr C B
2 2 2 2
Direct
0.000 0.500 0.884
0.000 0.000 0.384
0.500 0.000 0.046
0.500 0.500 0.546
0.500 0.500 0.169
0.500 0.000 0.669
0.500 0.000 0.233
0.500 0.500 0.733
```

ρ: 9.1 g cm⁻³
DOS(E_F): 4.5 states/eV/cell
Total magnetization: 4.17 μB/cell



(2)
Entry from the Alexandria database: an optimized crystal structure of CrBAuC (GGA-PBE).

```
CrBAuC
1.0
2.912 0.000 0.009
0.000 2.890 0.000
-0.018 0.000 5.007
Au C Cr B
1 1 1 1
Direct
0.608 0.000 0.200
0.108 0.000 0.568
0.608 0.500 0.692
0.108 0.000 0.878
```

ρ: 10.7 g cm⁻³
DOS(E_F): 2.9 states/eV/cell
Total magnetization: 0.05 μB/cell



(3)
Entry from the Alexandria database: an optimized crystal structure of CrBAuC (GGA-PBE).

```
CrBAuC
1.0
2.777 0.000 0.000
-1.389 2.405 0.000
0.000 0.000 6.507
C Au B Cr
1 1 1 1
Direct
0.000 0.000 0.782
0.000 0.000 0.206
0.333 0.667 0.794
0.667 0.333 0.557
```

ρ: 10.4 g cm⁻³
DOS(E_F): 2.7 states/eV/cell
Total magnetization: 0.00 μB/cell



Energies in meV per atom, measured from the most stable structure: (1) 265; (2) 314; (3) 0.



(1)
Entry from the Alexandria database: an optimized crystal structure of FeBHAuC (GGA-PBE).

```
FeBHAuC
1.0
6.537 0.000 0.383
0.000 2.716 0.000
-1.512 0.000 5.938
Au Fe C B H
2 2 2 2 2
Direct
0.178 0.500 0.577
0.178 0.000 0.077
0.739 0.000 0.472
0.739 0.500 0.972
0.609 0.500 0.232
0.609 0.000 0.732
0.512 0.000 0.168
0.512 0.500 0.668
0.896 0.500 0.569
0.896 0.000 0.069
```

ρ: 8.6 g cm⁻³
DOS(E_F): 3.5 states/eV/cell
Total magnetization: 3.03 μB/cell



(2)
Entry from the Alexandria database: an optimized crystal structure of FeBHAuC (GGA-PBE).

```
FeBHAuC
1.0
2.654 -0.058 0.059
-1.023 3.636 -0.091
-0.496 -1.136 5.641
Fe H Au C B
1 1 1 1 1
Direct
0.101 0.697 0.281
0.795 0.208 0.124
0.471 0.516 0.833
0.759 0.090 0.297
0.874 0.390 0.530
```

ρ: 8.5 g cm⁻³
DOS(E_F): 1.7 states/eV/cell
Total magnetization: 1.06 μB/cell



Energies in meV per atom, measured from the most stable structure: (1) 0; (2) 127.



(1)
Entry from the Alexandria database: an optimized crystal structure of FeBHAuC (GGA-PBE).

```
FeBHAuC
1.0
-0.319 2.644 1.413
-4.297 1.538 -0.642
-2.941 -1.886 2.897
C B Au Fe H
1 1 1 1 1
Direct
0.741 0.774 0.713
0.881 0.498 0.585
0.339 0.586 0.195
0.110 0.038 0.593
0.027 0.204 0.848
```

ρ: 8.4 g cm⁻³
DOS(E_F): 1.5 states/eV/cell
Total magnetization: 0.92 μB/cell



(2)
Entry from the Alexandria database: an optimized crystal structure of FeBHAuC (GGA-PBE).

```
FeBHAuC
1.0
4.325 0.000 0.008
0.000 2.712 0.000
-2.953 0.000 9.396
Fe Au B H C
2 2 2 2 2
Direct
0.329 0.500 0.134
0.329 0.000 0.634
0.213 0.000 0.883
0.213 0.500 0.383
0.838 0.000 0.667
0.838 0.500 0.167
0.944 0.500 0.052
0.944 0.000 0.552
0.642 0.500 0.657
0.642 0.000 0.157
```

ρ: 8.3 g cm⁻³
DOS(E_F): 3.5 states/eV/cell
Total magnetization: 2.62 μB/cell



(3)
Entry from the Alexandria database: an optimized crystal structure of FeBHAuC (GGA-PBE).

```
FeBHAuC
1.0
2.579 0.464 0.438
1.784 4.842 0.456
1.829 0.334 5.024
C Fe H B Au
1 1 1 1 1
Direct
0.495 0.674 0.918
0.748 0.607 0.232
0.241 0.927 0.927
0.882 0.608 0.595
0.535 0.119 0.429
```

ρ: 8.4 g cm⁻³
DOS(E_F): 2.2 states/eV/cell
Total magnetization: 1.84 μB/cell



Energies in meV per atom, measured from the most stable structure: (1) 107; (2) 0; (3) 56.